# 1
The following is a DFT calculation (PBE) of Pu6Pt2Au after structural relaxation.

Results
energy of formation from the pure elements: -325 kJ/mol of formula units
crystal system: hexagonal
SG: No. 189

POSCAR file:
```
Pu6Pt2Au
1.0
-0.501 3.047 -2.956
-7.763 -0.889 0.401
3.597 5.134 4.682
Pu Pt Au
6 2 1
Direct
0.000 0.730 0.000 Pu
0.500 0.590 0.590 Pu
0.500 0.000 0.410 Pu
0.000 0.000 0.730 Pu
0.000 0.270 0.270 Pu
0.500 0.410 0.000 Pu
0.000 0.333 0.667 Pt
0.000 0.667 0.333 Pt
0.500 0.000 0.000 Au
```

# 2
The following is a DFT calculation (PBE) of CeZrNb2 after structural relaxation.

Results
energy of formation from the pure elements: 84 kJ/mol of formula units
crystal system: tetragonal
SG: No. 123

POSCAR file:
```
CeZrNb2
1.0
-2.414 -1.942 -1.515
2.462 -1.841 -1.562
0.145 -4.455 5.478
Nb Zr Ce
2 1 1
Direct
0.000 0.000 0.742 Nb
0.000 0.000 0.258 Nb
0.500 0.500 0.000 Zr
0.500 0.500 0.500 Ce
```

# 3
The following is a DFT calculation (PBE) of ThZr3Ga2 after structural relaxation.

Results
energy of formation from the pure elements: -183 kJ/mol of formula units
crystal system: monoclinic
SG: No. 12

POSCAR file:
```
ThZr3Ga2
1.0
4.261 0.000 0.000
-2.130 9.315 -0.229
0.000 -4.410 7.080
Th Zr Ga
2 6 4
Direct
0.880 0.760 0.917 Th
0.120 0.240 0.083 Th
0.308 0.616 0.501 Zr
0.940 0.881 0.565 Zr
0.633 0.266 0.781 Zr
0.367 0.734 0.219 Zr
0.060 0.119 0.435 Zr
0.692 0.384 0.499 Zr
0.485 0.969 0.826 Ga
0.515 0.031 0.174 Ga
0.764 0.528 0.221 Ga
0.236 0.472 0.779 Ga
```

# 4
The following is a DFT calculation (PBE) of Pm3YTh2 after structural relaxation.

Results
energy of formation from the pure elements: 98 kJ/mol of formula units
crystal system: orthorhombic
SG: No. 63

POSCAR file:
```
Pm3YTh2
1.0
-6.082 -2.211 1.591
-0.474 -3.136 -6.170
3.775 -5.703 6.508
Pm Y Th
6 2 4
Direct
0.750 0.853 0.706 Pm
0.250 0.147 0.294 Pm
0.750 0.922 0.347 Pm
0.250 0.078 0.653 Pm
0.750 0.425 0.347 Pm
0.250 0.575 0.653 Pm
0.750 0.353 0.706 Y
0.250 0.647 0.294 Y
0.000 0.748 0.000 Th
0.500 0.252 0.000 Th
0.000 0.252 0.000 Th
0.500 0.748 0.000 Th
```

# 5
The following is a DFT calculation (PBE) of LiY2Zr2 after structural relaxation.

Results
energy of formation from the pure elements: 164 kJ/mol of formula units
crystal system: tetragonal
SG: No. 127

POSCAR file:
```
LiY2Zr2
1.0
9.151 0.000 0.000
0.000 9.151 0.000
0.000 0.000 3.401
Y Zr Li
4 4 2
Direct
0.188 0.688 0.500 Y
0.688 0.812 0.500 Y
0.812 0.312 0.500 Y
0.312 0.188 0.500 Y
0.393 0.893 0.000 Zr
0.893 0.607 0.000 Zr
0.607 0.107 0.000 Zr
0.107 0.393 0.000 Zr
0.000 0.000 0.000 Li
0.500 0.500 0.000 Li
```

# 6
The following is a DFT calculation (PBE) of LaCe4Dy after structural relaxation.

Results
energy of formation from the pure elements: 112 kJ/mol of formula units
crystal system: cubic
SG: No. 216

POSCAR file:
```
LaCe4Dy
1.0
-0.228 -5.253 3.562
3.394 -5.107 -1.653
5.044 -1.714 3.456
La Ce Dy
1 4 1
Direct
0.250 0.250 0.250 La
0.630 0.630 0.111 Ce
0.630 0.111 0.630 Ce
0.630 0.630 0.630 Ce
0.111 0.630 0.630 Ce
0.000 0.000 0.000 Dy
```

# 7
The following is a DFT calculation (PBE) of SrAgSbTe2 after structural relaxation.

Results
formation energy from raw total energies: 0.552 eV/atom
crystal system: tetragonal
SG: No. 123

POSCAR file:
```
SrAgSbTe2
1.0
6.105 0.000 0.000
0.000 6.105 0.000
0.000 0.000 6.083
Sb Te Ag Sr
1 2 1 1
Direct
0.000 0.000 0.500 Sb
0.000 0.500 0.000 Te
0.500 0.000 0.000 Te
0.500 0.500 0.500 Ag
0.000 0.000 0.000 Sr
```

# 8
The following is a DFT calculation (PBE) of SrNdAu2 after structural relaxation.

Results
energy of formation from the pure elements: -258 kJ/mol of formula units
crystal system: trigonal
SG: No. 160

POSCAR file:
```
SrNdAu2
1.0
4.300 0.000 0.000
2.150 3.724 0.000
2.150 1.241 7.686
Sr Nd Au
1 1 2
Direct
0.498 0.498 0.506 Sr
0.669 0.669 0.994 Nd
0.077 0.077 0.769 Au
0.257 0.257 0.230 Au
```